1.
# LiFePt2

Crystalline LiFePt2 at its relaxed geometry (PBE, Alexandria via LeMat-Bulk).

Formation energy in eV/atom: 0.07
Symmetry: No. 122
Total moment in μB per atom: 0.8533
Density in g/cm3: 12.0

abc: 8.902 8.902 8.902
angles: 155.10 155.10 35.51
Positions (direct):
Li 0.000 0.000 0.000
Li 0.750 0.250 0.500
Fe 0.250 0.750 0.500
Fe 0.500 0.500 0.000
Pt 0.118 0.625 0.993
Pt 0.375 0.368 0.493
Pt 0.632 0.125 0.007
Pt 0.875 0.882 0.507

---

2.
# K2MgTl3I6

Crystalline K2MgTl3I6 at its relaxed geometry (PBE, Alexandria via LeMat-Bulk).

Symmetry: No. 12
Total moment in μB per atom: 0.0000
Formation energy without anion corrections in eV per atom: -0.86
Density in g/cm3: 4.8

abc: 8.586 8.586 8.470
angles: 99.72 99.72 119.87
Positions (direct):
K 0.163 0.837 0.000
K 0.837 0.163 0.000
Mg 0.500 0.500 0.000
Tl 0.000 0.000 0.500
Tl 0.322 0.678 0.500
Tl 0.678 0.322 0.500
I 0.122 0.427 0.773
I 0.284 0.284 0.232
I 0.427 0.122 0.773
I 0.573 0.878 0.227
I 0.716 0.716 0.768
I 0.878 0.573 0.227

---

- The lowest total moment belongs to which entry?
  K2MgTl3I6

---

- Which value of density does entry 2 give?
  4.8 g/cm3